## Pt2Cl (PBE-GGA)

Data for Pt2Cl after structural relaxation.

```
data_Pt2Cl
_space_group_name_H-M_alt 'P 1'
_space_group_IT_number 1
_space_group_name_Hall 'P 1'
_cell_length_a 6.311
_cell_length_b 6.311
_cell_length_c 7.210
_cell_angle_alpha 57.89
_cell_angle_beta 57.89
_cell_angle_gamma 26.35
loop_
_atom_site_label
_atom_site_type_symbol
_atom_site_fract_x
_atom_site_fract_y
_atom_site_fract_z
Pt1 Pt 0.816 0.816 0.570
Pt2 Pt 0.544 0.544 0.288
Pt3 Pt 0.456 0.456 0.712
Pt4 Pt 0.184 0.184 0.430
Cl1 Cl 0.143 0.143 0.948
Cl2 Cl 0.857 0.857 0.052
```

Summary:
Energy above the lowest structure with this stoichiometry = 50 kJ/mol of formula units

## PtCl2 (PBE-GGA)

Data for PtCl2 after structural relaxation.

```
data_PtCl2
_space_group_name_H-M_alt 'P 1'
_space_group_IT_number 1
_space_group_name_Hall 'P 1'
_cell_length_a 11.284
_cell_length_b 11.284
_cell_length_c 3.352
_cell_angle_alpha 90.00
_cell_angle_beta 90.00
_cell_angle_gamma 160.63
loop_
_atom_site_label
_atom_site_type_symbol
_atom_site_fract_x
_atom_site_fract_y
_atom_site_fract_z
Pt1 Pt 0.049 0.951 0.750
Pt2 Pt 0.951 0.049 0.250
Cl1 Cl 0.426 0.574 0.750
Cl2 Cl 0.574 0.426 0.250
Cl3 Cl 0.750 0.250 0.750
Cl4 Cl 0.250 0.750 0.250
```

Summary:
DFT total energy = -2.811 eV/atom

## PtCl (PBE-GGA)

Data for PtCl after structural relaxation.

```
data_PtCl
_space_group_name_H-M_alt 'P 1'
_space_group_IT_number 1
_space_group_name_Hall 'P 1'
_cell_length_a 2.798
_cell_length_b 3.512
_cell_length_c 8.671
_cell_angle_alpha 90.00
_cell_angle_beta 90.00
_cell_angle_gamma 90.00
loop_
_atom_site_label
_atom_site_type_symbol
_atom_site_fract_x
_atom_site_fract_y
_atom_site_fract_z
Cl1 Cl 0.000 0.000 0.960
Cl2 Cl 0.000 0.500 0.373
Pt1 Pt 0.500 0.000 0.560
Pt2 Pt 0.500 0.500 0.773
```

Summary:
DFT total energy = -3.574 eV/atom